# Mg2ScAg (PBE, relaxed)
data_Mg2ScAg
_chemical_formula_sum 'Mg2 Sc1 Ag1'
_cell_length_a 3.326
_cell_length_b 3.326
_cell_length_c 7.702
_cell_angle_alpha 90.00
_cell_angle_beta 90.00
_cell_angle_gamma 90.00
_symmetry_space_group_name_H-M 'P 4 m m'
_symmetry_Int_Tables_number 99
_symmetry_space_group_name_Hall 'P 4 -2'
loop_
_atom_site_label
_atom_site_type_symbol
_atom_site_fract_x
_atom_site_fract_y
_atom_site_fract_z
Mg1 Mg 0.000 0.000 0.000
Mg2 Mg 0.500 0.500 0.271
Sc1 Sc 0.000 0.000 0.556
Ag1 Ag 0.500 0.500 0.787
# DFT total energy: -12.95 eV for the cell shown